5
Lattice="4.738 0.000 0.000 0.000 4.738 0.000 0.000 0.000 4.738" Properties=species:S:1:pos:R:3 comment="Nb3ZnIn GGA-PBE relaxed" e_form_kj_per_mol_atoms=87.6 total_energy_ev_per_cell=-29.68 sg=Pm-3m pbc="T T T"
Nb 0.000 0.000 2.369
Nb 0.000 2.369 0.000
Nb 2.369 0.000 0.000
Zn 0.000 0.000 0.000
In 2.369 2.369 2.369

---

6
Lattice="0.000 4.071 4.071 4.071 0.000 4.071 4.071 4.071 0.000" Properties=species:S:1:pos:R:3 comment="NdPuAg4 GGA-PBE relaxed" e_form_kj_per_mol_atoms=-4.4 total_energy_ev_per_cell=-30.78 sg=F-43m pbc="T T T"
Nd 0.000 0.000 0.000
Pu 2.036 2.036 2.036
Ag 5.088 3.054 3.054
Ag 3.054 5.088 3.054
Ag 3.054 3.054 5.088
Ag 5.088 5.088 5.088

---

8
Lattice="7.401 0.000 0.000 0.000 4.220 0.000 -2.401 0.000 7.308" Properties=species:S:1:pos:R:3 comment="Th4ReHgSe2 GGA-PBE relaxed" total_energy_ev_per_cell=-55.33 raw_formation_energy_ev_per_atom=-0.7416 sg=P2/m pbc="T T T"
Th 1.023 0.000 1.905
Th -0.080 2.110 5.299
Th 5.080 2.110 2.009
Th 3.977 0.000 5.404
Re -1.200 0.000 3.654
Hg 2.500 2.110 3.654
Se 0.000 2.110 0.000
Se 3.700 0.000 0.000

---

18
Lattice="5.154 0.000 0.000 -2.577 4.464 0.000 0.000 0.000 9.218" Properties=species:S:1:pos:R:3 comment="ScTiSbO6 GGA-PBE relaxed" total_energy_ev_per_cell=-141.27 raw_formation_energy_ev_per_atom=-2.5039 sg=P-31c pbc="T T T"
Sc 0.000 0.000 0.000
Sc 0.000 0.000 4.609
Ti 0.000 2.976 2.305
Ti 2.577 1.488 6.914
Sb 0.000 2.976 6.914
Sb 2.577 1.488 2.305
O -0.883 1.561 1.228
O -1.666 2.919 3.381
O 0.883 1.561 3.381
O -0.784 4.447 1.228
O 1.794 0.016 5.837
O 0.911 1.545 7.991
O 1.666 2.919 1.228
O 0.784 4.447 3.381
O 3.361 0.016 7.991
O 1.695 2.902 5.837
O 4.243 1.545 5.837
O 3.460 2.902 7.991

---

5
Lattice="4.849 0.000 0.000 0.000 4.849 0.000 0.000 0.000 5.406" Properties=species:S:1:pos:R:3 comment="GeAs2WBr GGA-PBE relaxed" total_energy_ev_per_cell=-25.14 raw_formation_energy_ev_per_atom=0.6808 sg=P4/mmm pbc="T T T"
Ge 0.000 0.000 0.000
As 0.000 2.424 2.703
As 2.424 0.000 2.703
W 2.424 2.424 2.703
Br 2.424 2.424 0.000

---

14
Lattice="4.152 0.000 0.000 0.000 4.152 0.000 0.000 0.000 8.296" Properties=species:S:1:pos:R:3 comment="AcDyB12 GGA-PBE relaxed" e_form_kj_per_mol_atoms=-45.0 total_energy_ev_per_cell=-95.37 sg=P4/mmm pbc="T T T"
Ac 0.000 0.000 0.000
Dy 0.000 0.000 4.148
B 0.829 2.076 2.110
B 0.829 2.076 6.186
B 2.076 0.829 2.110
B 2.076 0.829 6.186
B 2.076 2.076 0.845
B 2.076 2.076 3.337
B 2.076 2.076 4.959
B 2.076 2.076 7.451
B 2.076 3.322 2.110
B 2.076 3.322 6.186
B 3.322 2.076 2.110
B 3.322 2.076 6.186

---

4
Lattice="0.000 3.119 3.119 3.119 0.000 3.119 3.119 3.119 0.000" Properties=species:S:1:pos:R:3 comment="OsBr2O GGA-PBE relaxed" total_energy_ev_per_cell=-14.76 raw_formation_energy_ev_per_atom=1.1937 sg=Fm-3m pbc="T T T"
Os 0.000 0.000 0.000
Br 1.560 1.560 1.560
Br 4.679 4.679 4.679
O 3.119 3.119 3.119

---

8
Lattice="5.016 0.000 0.000 0.000 5.016 0.000 0.000 0.000 7.155" Properties=species:S:1:pos:R:3 comment="DyHo3Zn4 GGA-PBE relaxed" e_form_kj_per_mol_atoms=-33.2 total_energy_ev_per_cell=-26.19 sg=P4/mmm pbc="T T T"
Dy 0.000 0.000 0.000
Ho 0.000 0.000 3.578
Ho 2.508 2.508 0.000
Ho 2.508 2.508 3.578
Zn 0.000 2.508 1.798
Zn 0.000 2.508 5.357
Zn 2.508 0.000 1.798
Zn 2.508 0.000 5.357

---

12
Lattice="3.120 -5.403 0.000 3.120 5.403 0.000 -2.072 0.000 11.655" Properties=species:S:1:pos:R:3 comment="Tb3Pm6DyEr2 GGA-PBE relaxed" e_form_kj_per_mol_atoms=1.2 total_energy_ev_per_cell=-55.97 sg=C2/m pbc="T T T"
Tb 0.000 0.000 0.000
Tb 3.120 1.802 0.000
Tb 3.120 -1.802 0.000
Pm 1.038 1.802 2.928
Pm 0.008 0.000 8.728
Pm 1.038 -1.802 2.928
Pm 3.130 1.802 8.728
Pm 4.159 0.000 2.928
Pm 3.130 -1.802 8.728
Dy 2.084 0.000 5.828
Er 2.084 3.602 5.828
Er 2.084 -3.602 5.828

---

4
Lattice="0.000 3.484 3.484 3.484 0.000 3.484 3.484 3.484 0.000" Properties=species:S:1:pos:R:3 comment="YTlAgPd GGA-PBE relaxed" e_form_kj_per_mol_atoms=-40.3 total_energy_ev_per_cell=-18.55 sg=F-43m pbc="T T T"
Y 0.000 0.000 0.000
Tl 3.484 3.484 3.484
Ag 1.742 1.742 1.742
Pd 5.225 5.225 5.225

---

4
Lattice="0.000 3.748 3.748 3.748 0.000 3.748 3.748 3.748 0.000" Properties=species:S:1:pos:R:3 comment="BaPrCuPt GGA-PBE relaxed" e_form_kj_per_mol_atoms=-33.2 total_energy_ev_per_cell=-18.22 sg=F-43m pbc="T T T"
Ba 0.000 0.000 0.000
Pr 3.748 3.748 3.748
Cu 1.874 1.874 1.874
Pt 5.622 5.622 5.622

---

5
Lattice="-2.761 2.761 5.894 2.761 -2.761 5.894 2.761 2.761 -5.894" Properties=species:S:1:pos:R:3 comment="BaCa2Ga2 GGA-PBE relaxed" e_form_kj_per_mol_atoms=-14.3 total_energy_ev_per_cell=-12.72 sg=I4/mmm pbc="T T T"
Ba 0.000 0.000 0.000
Ca 0.000 0.000 4.057
Ca 0.000 0.000 7.731
Ga 2.761 0.000 2.947
Ga 0.000 2.761 2.947

---

4
Lattice="2.014 1.163 8.379 -2.014 1.163 8.379 0.000 -2.325 8.379" Properties=species:S:1:pos:R:3 comment="RbLaTeO GGA-PBE relaxed" total_energy_ev_per_cell=-21.00 raw_formation_energy_ev_per_atom=-1.7504 sg=R3m pbc="T T T"
Rb 0.000 0.000 0.000
La 0.000 0.000 3.612
Te 0.000 0.000 14.221
O 0.000 0.000 10.997

---

10
Lattice="7.152 0.000 0.000 0.000 7.152 0.000 0.000 0.000 3.014" Properties=species:S:1:pos:R:3 comment="Ta2NbNi2 GGA-PBE relaxed" e_form_kj_per_mol_atoms=-10.2 total_energy_ev_per_cell=-91.74 sg=P4/mbm pbc="T T T"
Ta 1.249 2.327 0.000
Ta 2.327 5.904 0.000
Ta 4.825 1.249 0.000
Ta 5.904 4.825 0.000
Nb 0.000 0.000 1.507
Nb 3.576 3.576 1.507
Ni 0.866 4.443 1.507
Ni 2.710 0.866 1.507
Ni 4.443 6.286 1.507
Ni 6.286 2.710 1.507

---

4
Lattice="0.000 3.005 3.005 3.005 0.000 3.005 3.005 3.005 0.000" Properties=species:S:1:pos:R:3 comment="Cr2ReRu GGA-PBE relaxed" e_form_kj_per_mol_atoms=20.8 total_energy_ev_per_cell=-40.11 sg=F-43m pbc="T T T"
Cr 0.000 0.000 0.000
Cr 1.502 1.502 1.502
Re 4.507 4.507 4.507
Ru 3.005 3.005 3.005

---

4
Lattice="2.119 1.223 10.132 -2.119 1.223 10.132 0.000 -2.447 10.132" Properties=species:S:1:pos:R:3 comment="Pr2EuSb GGA-PBE relaxed" total_energy_ev_per_cell=-25.57 raw_formation_energy_ev_per_atom=-0.4039 sg=R-3m pbc="T T T"
Pr 0.000 0.000 7.004
Pr 0.000 0.000 23.393
Eu 0.000 0.000 0.000
Sb 0.000 0.000 15.198

---

8
Lattice="4.978 0.000 0.000 0.000 4.567 0.000 0.000 0.000 5.635" Properties=species:S:1:pos:R:3 comment="TcAu GGA-PBE relaxed" e_form_kj_per_mol_atoms=33.4 total_energy_ev_per_cell=-51.80 sg=Pnma pbc="T T T"
Tc 0.378 1.142 0.685
Tc 2.111 3.425 3.502
Tc 2.867 1.142 2.132
Tc 4.600 3.425 4.950
Au 0.478 1.142 3.503
Au 2.011 3.425 0.686
Au 2.967 1.142 4.949
Au 4.501 3.425 2.131

---

7
Lattice="2.734 1.579 8.031 -2.734 1.579 8.031 0.000 -3.157 8.031" Properties=species:S:1:pos:R:3 comment="Tb2SmDy2Mg2 GGA-PBE relaxed" e_form_kj_per_mol_atoms=-3.0 total_energy_ev_per_cell=-26.59 sg=R-3m pbc="T T T"
Tb 0.000 0.000 3.755
Tb 0.000 0.000 20.336
Sm 0.000 0.000 0.000
Dy 0.000 0.000 10.303
Dy 0.000 0.000 13.789
Mg 0.000 0.000 6.977
Mg 0.000 0.000 17.115

---

5
Lattice="4.616 0.000 0.000 0.000 4.616 0.000 0.000 0.000 4.616" Properties=species:S:1:pos:R:3 comment="CrCuGe3 GGA-PBE relaxed" e_form_kj_per_mol_atoms=46.8 total_energy_ev_per_cell=-25.15 sg=Pm-3m pbc="T T T"
Cr 0.000 0.000 0.000
Cu 2.308 2.308 2.308
Ge 0.000 0.000 2.308
Ge 0.000 2.308 0.000
Ge 2.308 0.000 0.000

---

10
Lattice="7.982 0.000 0.000 -3.991 6.913 0.000 0.000 0.000 6.872" Properties=species:S:1:pos:R:3 comment="Cs2PuMnBr6 GGA-PBE relaxed" total_energy_ev_per_cell=-49.25 raw_formation_energy_ev_per_atom=-1.4009 sg=P-3m1 pbc="T T T"
Cs 0.000 4.609 1.530
Cs 3.991 2.304 5.342
Pu 0.000 0.000 3.436
Mn 0.000 0.000 0.000
Br 0.000 2.269 5.301
Br -2.026 5.779 5.301
Br 1.965 1.134 1.572
Br 2.026 5.779 5.301
Br 6.018 1.134 1.572
Br 3.991 4.644 1.572

---

4
Lattice="0.000 3.631 3.631 3.631 0.000 3.631 3.631 3.631 0.000" Properties=species:S:1:pos:R:3 comment="PmErInCo GGA-PBE relaxed" e_form_kj_per_mol_atoms=-15.8 total_energy_ev_per_cell=-19.81 sg=F-43m pbc="T T T"
Pm 0.000 0.000 0.000
Er 3.631 3.631 3.631
In 5.447 5.447 5.447
Co 1.816 1.816 1.816

---

4
Lattice="4.261 0.000 0.000 0.000 1.989 5.492 0.000 -1.989 5.492" Properties=species:S:1:pos:R:3 comment="LaSmIrRh GGA-PBE relaxed" e_form_kj_per_mol_atoms=-68.4 total_energy_ev_per_cell=-28.69 sg=Amm2 pbc="T T T"
La 0.000 0.000 0.000
Sm 2.130 0.000 7.862
Ir 2.130 0.000 4.814
Rh 0.000 0.000 2.973

---

10
Lattice="3.557 0.000 0.000 0.000 3.557 0.000 0.000 0.000 23.831" Properties=species:S:1:pos:R:3 comment="Sm4Er5Zn GGA-PBE relaxed" e_form_kj_per_mol_atoms=-5.2 total_energy_ev_per_cell=-43.51 sg=P4/mmm pbc="T T T"
Sm 0.000 0.000 2.523
Sm 0.000 0.000 7.590
Sm 0.000 0.000 16.241
Sm 0.000 0.000 21.307
Er 1.779 1.779 0.000
Er 1.779 1.779 5.069
Er 1.779 1.779 10.172
Er 1.779 1.779 13.658
Er 1.779 1.779 18.762
Zn 0.000 0.000 11.915

---

8
Lattice="-4.091 4.091 2.983 4.091 -4.091 2.983 4.091 4.091 -2.983" Properties=species:S:1:pos:R:3 comment="HfSiPb2 GGA-PBE relaxed" total_energy_ev_per_cell=-41.62 raw_formation_energy_ev_per_atom=0.4958 sg=I-42d pbc="T T T"
Hf 0.000 0.000 0.000
Hf 0.000 4.091 1.492
Si 4.091 0.000 1.492
Si 0.000 0.000 2.983
Pb 2.045 -1.902 2.238
Pb 2.188 2.045 0.746
Pb 2.045 5.993 -0.746
Pb 1.902 2.045 3.729

---

9
Lattice="9.372 -2.302 0.000 9.372 2.302 0.000 -3.516 0.000 7.484" Properties=species:S:1:pos:R:3 comment="Cs3Ge2As4 GGA-PBE relaxed" e_form_kj_per_mol_atoms=-25.5 total_energy_ev_per_cell=-32.77 sg=C2/m pbc="T T T"
Cs 0.000 0.000 0.000
Cs 0.143 0.000 5.614
Cs 15.085 0.000 1.870
Ge 4.041 0.000 4.386
Ge 11.186 0.000 3.098
As 2.789 0.000 2.186
As 6.791 0.000 4.610
As 8.436 0.000 2.874
As 12.438 0.000 5.298